No. 1
First-principles (PBE-GGA) data for crystalline Sr2PtI at its relaxed geometry, as listed in Alexandria via LeMat-Bulk.

The structure in extended XYZ format:
```
4
Lattice="-3.8143 2.1472 -0.7184 -3.8576 -1.9170 1.0581 -2.1218 3.3897 7.7029" Properties=species:S:1:pos:R:3 pbc="T T T"
Pt -7.2366 3.5418 7.9262
Sr -2.4722 0.7239 1.5957
Sr -2.2076 2.7370 6.2076
I -4.8959 1.8169 4.0371
```

polymorph energy (0 for the lowest one)	8	meV per atom
calculated total energy	-15.3	eV/cell
V	35.33	A^3/atom
formation energy (no corrections)	-105.42	kJ/mol of atoms
space-group type	R3m, No. 160
total magnetization	0.00	μB per cell
mass density	5.8	g cm⁻³



No. 2
First-principles (PBE-GGA) data for crystalline Sr4PtI5 at its relaxed geometry, as listed in Alexandria via LeMat-Bulk.

The structure in extended XYZ format:
```
10
Lattice="4.4583 0.0000 -1.2259 -1.0354 8.5420 -3.7655 0.9087 -2.1753 12.0240" Properties=species:S:1:pos:R:3 pbc="T T T"
I 3.7735 2.8113 5.0033
I 0.5580 3.5554 2.0293
I 4.3159 -1.4264 6.9758
I 1.7114 4.2710 -2.4957
I 0.0156 7.7931 0.0568
Sr 2.9541 1.2095 2.0235
Sr 1.3774 5.1572 5.0091
Sr 4.5680 4.4151 7.8927
Sr -0.2365 1.9516 -0.8601
Pt 2.2291 0.0000 -0.6130
```

calculated total energy	-34.8	eV/cell
V	42.81	A^3/atom
formation energy (no corrections)	-138.19	kJ/mol of atoms
space-group type	C2/m, No. 12
total magnetization	0.00	μB per cell
mass density	4.6	g cm⁻³